1.
! meta-GGA SCAN Zr2AlPb, single point on PBEsol structure; values from VASP
! Formation enthalpy at 0 K, kcal/mol of atoms: -4.149
! Electronic total energy, eV per cell: -145.7
! Magnetic moment, μB per formula unit: 0.0
! SG: R-3m, No. 166
&SYSTEM
  ibrav = 0, nat = 4, ntyp = 3
/
ATOMIC_SPECIES
Pb 207.20 Pb.upf
Al 26.98 Al.upf
Zr 91.22 Zr.upf
CELL_PARAMETERS angstrom
3.199 0.000 0.000
1.600 2.771 0.000
1.600 0.924 9.760
ATOMIC_POSITIONS angstrom
Pb 3.199 1.847 4.880
Al 0.000 0.000 0.000
Zr 1.600 0.924 2.344
Zr 4.799 2.771 7.416

***

2.
! meta-GGA SCAN Ag3As4, single point on PBEsol structure; values from VASP
! Formation enthalpy at 0 K, kcal/mol of atoms: 5.830
! Electronic total energy, eV per cell: -173.1
! Magnetic moment, μB per formula unit: 0.0
! SG: I4/mmm, No. 139
&SYSTEM
  ibrav = 0, nat = 7, ntyp = 2
/
ATOMIC_SPECIES
Ag 107.87 Ag.upf
As 74.92 As.upf
CELL_PARAMETERS angstrom
-1.594 2.318 2.297
0.971 -2.103 2.797
8.737 4.873 -1.727
ATOMIC_POSITIONS angstrom
Ag 0.000 0.000 0.000
Ag 4.725 2.793 0.460
Ag 3.390 2.295 2.907
As 2.349 1.388 0.229
As 5.766 3.699 3.138
As 6.986 4.129 0.680
As 1.128 0.958 2.687

***

3.
! meta-GGA SCAN TaTlCr2, single point on PBEsol structure; values from VASP
! Formation enthalpy at 0 K, kcal/mol of atoms: 14.457
! Electronic total energy, eV per cell: -173.2
! Magnetic moment, μB per formula unit: 0.0
! SG: Cmmm, No. 65
&SYSTEM
  ibrav = 0, nat = 4, ntyp = 3
/
ATOMIC_SPECIES
Cr 52.00 Cr.upf
Ta 180.95 Ta.upf
Tl 204.38 Tl.upf
CELL_PARAMETERS angstrom
-0.766 1.490 -2.291
1.746 -2.142 -0.648
-6.698 -5.128 -1.097
ATOMIC_POSITIONS angstrom
Cr -1.795 -1.374 -0.294
Cr -4.903 -3.754 -0.803
Ta -2.859 -2.890 -2.018
Tl 0.490 -0.326 -1.470

***

4.
! meta-GGA SCAN LaZrBr2, single point on PBEsol structure; values from VASP
! Electronic total energy, eV per cell: -115.9
! Energy relative to the elements, uncorrected, meV per atom: -799.8
! Magnetic moment, μB per formula unit: 0.0
! SG: Cm, No. 8
&SYSTEM
  ibrav = 0, nat = 4, ntyp = 3
/
ATOMIC_SPECIES
Br 79.90 Br.upf
Zr 91.22 Zr.upf
La 138.91 La.upf
CELL_PARAMETERS angstrom
-2.552 -2.288 -0.543
0.845 -2.058 4.701
-2.364 4.997 1.145
ATOMIC_POSITIONS angstrom
Br -0.065 -0.033 0.447
Br -1.163 0.415 3.717
Zr -2.935 0.440 0.852
La -3.126 2.653 3.509

***

5.
! meta-GGA SCAN Cd2InRh, single point on PBEsol structure; values from VASP
! Formation enthalpy at 0 K, kcal/mol of atoms: -2.410
! Electronic total energy, eV per cell: -128.4
! Magnetic moment, μB per formula unit: 0.0
! SG: Pmm2, No. 25
&SYSTEM
  ibrav = 0, nat = 4, ntyp = 3
/
ATOMIC_SPECIES
Cd 112.41 Cd.upf
In 114.82 In.upf
Rh 102.91 Rh.upf
CELL_PARAMETERS angstrom
3.185 0.000 0.000
0.000 3.788 0.000
0.000 0.000 6.057
ATOMIC_POSITIONS angstrom
Cd 0.000 0.000 5.994
Cd 1.593 1.894 1.461
In 0.000 0.000 3.215
Rh 1.593 1.894 4.473

***

6.
! meta-GGA SCAN NiMoBr, single point on PBEsol structure; values from VASP
! Electronic total energy, eV per cell: -66.8
! Energy relative to the elements, uncorrected, meV per atom: 1247.0
! Magnetic moment, μB per formula unit: 0.0
! SG: F-43m, No. 216
&SYSTEM
  ibrav = 0, nat = 3, ntyp = 3
/
ATOMIC_SPECIES
Br 79.90 Br.upf
Mo 95.94 Mo.upf
Ni 58.69 Ni.upf
CELL_PARAMETERS angstrom
4.040 0.000 0.000
2.020 3.499 0.000
2.020 1.166 3.299
ATOMIC_POSITIONS angstrom
Br 2.020 1.166 0.825
Mo 0.000 0.000 0.000
Ni 4.040 2.332 1.649

***

7.
! meta-GGA SCAN LaCrPt2, single point on PBEsol structure; values from VASP
! Formation enthalpy at 0 K, kcal/mol of atoms: -14.817
! Electronic total energy, eV per cell: -204.4
! Magnetic moment, μB per formula unit: 4.7
! SG: I-4m2, No. 119
&SYSTEM
  ibrav = 0, nat = 4, ntyp = 3
/
ATOMIC_SPECIES
Cr 52.00 Cr.upf
La 138.91 La.upf
Pt 195.08 Pt.upf
CELL_PARAMETERS angstrom
-2.447 -0.371 3.279
-1.918 -3.162 -1.789
5.078 -1.033 1.099
ATOMIC_POSITIONS angstrom
Cr -2.182 -1.767 0.745
La 0.489 -2.981 0.027
Pt 0.000 0.000 0.000
Pt 0.224 -1.585 2.561

***

8.
! meta-GGA SCAN LiIr2Br, single point on PBEsol structure; values from VASP
! Electronic total energy, eV per cell: -161.1
! Energy relative to the elements, uncorrected, meV per atom: 745.3
! Magnetic moment, μB per formula unit: 0.0
! SG: Cmmm, No. 65
&SYSTEM
  ibrav = 0, nat = 4, ntyp = 3
/
ATOMIC_SPECIES
Br 79.90 Br.upf
Ir 192.22 Ir.upf
Li 6.94 Li.upf
CELL_PARAMETERS angstrom
2.739 0.000 0.000
-1.369 2.421 0.000
0.000 0.000 9.142
ATOMIC_POSITIONS angstrom
Br 1.369 0.000 0.000
Ir 0.000 0.000 6.777
Ir 0.000 0.000 2.365
Li 1.369 0.000 4.571

***

Number 1: DOS(E_F) 2.9 states/eV/cell. Number 2: DOS(E_F) 2.0 states/eV/cell. Number 3: DOS(E_F) 2.4 states/eV/cell. Number 4: DOS(E_F) 2.1 states/eV/cell. Number 5: DOS(E_F) 1.5 states/eV/cell. Number 6: DOS(E_F) 2.6 states/eV/cell. Number 7: DOS(E_F) 1.3 states/eV/cell. Number 8: DOS(E_F) 4.4 states/eV/cell.